(1)
## Ca2TbPaSb4 (PBE-GGA)

Data for Ca2TbPaSb4 after structural relaxation.

Lattice parameters (Å, degrees): 7.682 4.479 7.746 90.00 109.30 90.00
Positions (direct):
Ca (0.000, 0.000, 0.000)
Ca (0.500, 0.500, 0.000)
Tb (0.000, 0.500, 0.500)
Pa (0.500, 0.000, 0.500)
Sb (0.252, 0.000, 0.736)
Sb (0.260, 0.500, 0.265)
Sb (0.740, 0.500, 0.735)
Sb (0.748, 0.000, 0.264)

**Formation energy from raw total energies**: -697 kJ/mol of formula units

(2)
## Ca3Tb2PaSb6 (PBE-GGA)

Data for Ca3Tb2PaSb6 after structural relaxation.

Lattice parameters (Å, degrees): 7.727 7.727 7.753 99.56 99.56 120.03
Positions (direct):
Ca (0.000, 0.000, 0.000)
Ca (0.331, 0.669, 0.000)
Ca (0.669, 0.331, 0.000)
Tb (0.166, 0.834, 0.500)
Tb (0.834, 0.166, 0.500)
Pa (0.500, 0.500, 0.500)
Sb (0.094, 0.421, 0.263)
Sb (0.252, 0.252, 0.738)
Sb (0.421, 0.094, 0.263)
Sb (0.579, 0.906, 0.737)
Sb (0.748, 0.748, 0.262)
Sb (0.906, 0.579, 0.737)

**Formation energy from raw total energies**: -1067 kJ/mol of formula units
**Fermi-level density of states**: 0.620 states/eV/atom

(3)
## CaTh2PaSb4 (PBE-GGA)

Data for CaTh2PaSb4 after structural relaxation.

Lattice parameters (Å, degrees): 7.734 4.471 7.756 90.00 109.40 90.00
Positions (direct):
Ca (0.000, 0.000, 0.000)
Th (0.500, 0.000, 0.500)
Th (0.500, 0.500, 0.000)
Pa (0.000, 0.500, 0.500)
Sb (0.242, 0.000, 0.745)
Sb (0.245, 0.500, 0.252)
Sb (0.755, 0.500, 0.748)
Sb (0.758, 0.000, 0.255)

**Formation energy from raw total energies**: -637 kJ/mol of formula units
**Fermi-level density of states**: 0.974 states/eV/atom

(4)
## Ca3Th2PaSb6 (PBE-GGA)

Data for Ca3Th2PaSb6 after structural relaxation.

Lattice parameters (Å, degrees): 7.815 7.815 7.779 99.66 99.66 119.99
Positions (direct):
Ca (0.000, 0.000, 0.000)
Ca (0.330, 0.670, 0.000)
Ca (0.670, 0.330, 0.000)
Th (0.166, 0.834, 0.500)
Th (0.834, 0.166, 0.500)
Pa (0.500, 0.500, 0.500)
Sb (0.095, 0.420, 0.258)
Sb (0.257, 0.257, 0.743)
Sb (0.420, 0.095, 0.258)
Sb (0.580, 0.905, 0.742)
Sb (0.743, 0.743, 0.257)
Sb (0.905, 0.580, 0.742)

**Formation energy from raw total energies**: -1044 kJ/mol of formula units
**Fermi-level density of states**: 0.465 states/eV/atom

(5)
## Ca4Th3PaSb8 (PBE-GGA)

Data for Ca4Th3PaSb8 after structural relaxation.

Lattice parameters (Å, degrees): 9.004 9.004 9.004 60.36 60.36 60.36
Positions (direct):
Ca (0.000, 0.000, 0.000)
Ca (0.000, 0.500, 0.500)
Ca (0.500, 0.000, 0.500)
Ca (0.500, 0.500, 0.000)
Th (0.000, 0.000, 0.500)
Th (0.000, 0.500, 0.000)
Th (0.500, 0.000, 0.000)
Pa (0.500, 0.500, 0.500)
Sb (0.249, 0.249, 0.249)
Sb (0.255, 0.743, 0.743)
Sb (0.257, 0.257, 0.745)
Sb (0.257, 0.745, 0.257)
Sb (0.743, 0.255, 0.743)
Sb (0.743, 0.743, 0.255)
Sb (0.745, 0.257, 0.257)
Sb (0.751, 0.751, 0.751)

**Formation energy from raw total energies**: -1422 kJ/mol of formula units
**Fermi-level density of states**: 0.430 states/eV/atom

(6)
## Ca2PaTiSb4 (PBE-GGA)

Data for Ca2PaTiSb4 after structural relaxation.

Lattice parameters (Å, degrees): 7.348 4.323 7.741 90.00 108.85 90.00
Positions (direct):
Ca (0.000, 0.000, 0.000)
Ca (0.500, 0.500, 0.000)
Pa (0.000, 0.500, 0.500)
Ti (0.500, 0.000, 0.500)
Sb (0.259, 0.000, 0.730)
Sb (0.274, 0.500, 0.280)
Sb (0.726, 0.500, 0.720)
Sb (0.741, 0.000, 0.270)

**Formation energy from raw total energies**: -511 kJ/mol of formula units
**Fermi-level density of states**: 0.662 states/eV/atom